Entry 1:
PmYMg2 | PBE-GGA | optimized geometry

```
PmYMg2
1.0
-0.2864 -4.8018 2.4916
1.9021 -4.4411 -2.4509
4.5125 -2.3783 1.8245
Y Mg Pm
1 2 1
direct
0.0000 0.0000 0.0000
0.2500 0.2500 0.2500
0.7500 0.7500 0.7500
0.5000 0.5000 0.5000
```

Results
- relative energy among the computed polymorphs (eV/f.u.) = 0.00
- symmetry = No. 225
- mass density (Mg/m³) = 4.2
- size of the total moment (μB/f.u.) = 0.000
- ΔE_f (eV/atom) = -0.11

Entry 2:
PmY2Mg | PBE-GGA | optimized geometry

```
PmY2Mg
1.0
-0.9195 -0.5093 -4.8732
4.7895 -0.9644 -0.8030
-0.8606 -4.8299 0.6672
Mg Y Pm
1 2 1
direct
0.5000 0.0000 0.0000
0.0000 0.0000 0.5000
0.0000 0.5000 0.0000
0.5000 0.5000 0.5000
```

Results
- relative energy among the computed polymorphs (eV/f.u.) = 0.21
- symmetry = No. 123
- mass density (Mg/m³) = 4.7
- size of the total moment (μB/f.u.) = 0.001
- ΔE_f (eV/atom) = 0.02

Entry 3:
Pm4Y7Mg | PBE-GGA | optimized geometry

```
Pm4Y7Mg
1.0
-2.1757 -1.8190 5.1584
6.4274 -3.8984 4.6949
3.4583 5.2433 6.6663
Y Pm Mg
7 4 1
direct
0.6972 0.4871 0.1185
0.8186 0.0336 0.3291
0.1814 0.9664 0.6709
0.9538 0.3580 0.7344
0.5000 0.0000 0.0000
0.3028 0.5129 0.8815
0.0462 0.6420 0.2656
0.2267 0.2422 0.3045
0.4186 0.7233 0.4395
0.5814 0.2767 0.5605
0.7733 0.7578 0.6955
0.0000 0.0000 0.0000
```

Results
- relative energy among the computed polymorphs (eV/f.u.) = 2.25
- symmetry = No. 12
- mass density (Mg/m³) = 5.1
- size of the total moment (μB/f.u.) = 0.000
- ΔE_f (eV/atom) = 0.21

Entry 4:
Pm4YMg | PBE-GGA | optimized geometry

```
Pm4YMg
1.0
6.0985 0.4885 -1.0815
2.5239 5.5732 -1.0815
-1.0214 -0.7180 12.0236
Pm Mg Y
8 2 2
direct
0.7483 0.5869 0.2500
0.5869 0.7483 0.7500
0.2517 0.4131 0.7500
0.3242 0.8384 0.9989
0.1616 0.6758 0.5011
0.8384 0.3242 0.4989
0.4131 0.2517 0.2500
0.6758 0.1616 0.0011
0.9152 0.0848 0.7500
0.0848 0.9152 0.2500
0.5000 0.0000 0.5000
0.0000 0.5000 0.0000
```

Results
- relative energy among the computed polymorphs (eV/f.u.) = 0.18
- symmetry = No. 15
- mass density (Mg/m³) = 6.0
- size of the total moment (μB/f.u.) = 0.000
- ΔE_f (eV/atom) = 0.01